VASP calculation (PBE) on crystalline ErCo4Pd at its relaxed geometry.

energy of formation	-0.184	eV per atom
ρ	10.1	g cm⁻³
electronic total energy	-39.283	eV/cell

Unit cell a=4.909 b=4.909 c=4.909 alpha=60.00 beta=60.00 gamma=60.00
Sites, in units of the cell vectors:
Er1 0.000 0.000 0.000
Co1 0.127 0.624 0.624
Co2 0.624 0.127 0.624
Co3 0.624 0.624 0.127
Co4 0.624 0.624 0.624
Pd1 0.250 0.250 0.250